No. 1
This record from Alexandria describes a geometry-optimized InSiRu2 structure. The functional is PBE.

Output
Volume in Å³ per cell: 59
ΔE_f (raw) in eV per atom: -0.298
DFT total energy in eV per atom: -6.9763

Cell lengths 2.998, 2.998, 6.572 Å; angles 90.00, 90.00, 90.00 degrees
Atoms (fractional coordinates):
In 0.000 0.000 0.000
Si 0.000 0.000 0.500
Ru 0.500 0.500 0.290
Ru 0.500 0.500 0.710


No. 2
This record from Alexandria describes a geometry-optimized Nd12HoTm7 structure. The functional is PBE.

Output
E_form in eV/atom: 0.23
Volume in Å³ per cell: 690
ΔE to the lowest computed polymorph in eV per atom: 0.0128
DFT total energy in eV per atom: -4.4198

Cell lengths 11.519, 11.519, 11.519 Å; angles 116.85, 116.85, 116.85 degrees
Atoms (fractional coordinates):
Nd 0.063 0.415 0.415
Nd 0.087 0.499 0.912
Nd 0.088 0.913 0.501
Nd 0.415 0.063 0.415
Nd 0.415 0.415 0.063
Nd 0.499 0.912 0.087
Nd 0.501 0.088 0.913
Nd 0.585 0.585 0.937
Nd 0.585 0.937 0.585
Nd 0.912 0.087 0.499
Nd 0.913 0.501 0.088
Nd 0.937 0.585 0.585
Ho 0.000 0.000 0.000
Tm 0.125 0.368 0.126
Tm 0.126 0.125 0.368
Tm 0.368 0.126 0.125
Tm 0.500 0.500 0.500
Tm 0.632 0.874 0.875
Tm 0.874 0.875 0.632
Tm 0.875 0.632 0.874


No. 3
This record from Alexandria describes a geometry-optimized TaZn2N3 structure. The functional is PBE.

Output
Volume in Å³ per cell: 156
ΔE_f (raw) in eV per atom: -0.504
DFT total energy in eV per atom: -7.0669

Cell lengths 5.736, 5.736, 5.442 Å; angles 90.00, 90.00, 60.64 degrees
Atoms (fractional coordinates):
Ta 0.169 0.831 0.500
Ta 0.831 0.169 0.000
Zn 0.167 0.489 0.011
Zn 0.489 0.167 0.511
Zn 0.511 0.833 0.011
Zn 0.833 0.511 0.511
N 0.153 0.847 0.867
N 0.170 0.511 0.388
N 0.489 0.830 0.388
N 0.511 0.170 0.888
N 0.830 0.489 0.888
N 0.847 0.153 0.367


No. 4
This record from Alexandria describes a geometry-optimized Tm2Mg5Tl3Pb2 structure. The functional is PBE.

Output
E_form in eV/atom: -0.02
Volume in Å³ per cell: 345
DFT total energy in eV per atom: -2.6414

Cell lengths 18.269, 18.269, 18.269 Å; angles 166.25, 166.25, 19.50 degrees
Atoms (fractional coordinates):
Tm 0.216 0.216 0.000
Tm 0.784 0.784 0.000
Mg 0.000 0.000 0.000
Mg 0.141 0.641 0.500
Mg 0.359 0.859 0.500
Mg 0.641 0.141 0.500
Mg 0.859 0.359 0.500
Tl 0.302 0.302 0.000
Tl 0.500 0.500 0.000
Tl 0.698 0.698 0.000
Pb 0.081 0.081 0.000
Pb 0.919 0.919 0.000


No. 5
This record from Alexandria describes a geometry-optimized LiMg structure. The functional is PBE.

Output
E_form in eV/atom: -0.02
Volume in Å³ per cell: 129
DFT total energy in eV per atom: -1.7699

Cell lengths 3.140, 3.140, 15.152 Å; angles 90.00, 90.00, 120.00 degrees
Atoms (fractional coordinates):
Li 0.000 0.000 0.000
Li 0.333 0.667 0.163
Li 0.333 0.667 0.837
Mg 0.000 0.000 0.325
Mg 0.000 0.000 0.675
Mg 0.333 0.667 0.500


No. 6
This record from Alexandria describes a geometry-optimized RbS2Cl2 structure. The functional is PBE.

Output
Volume in Å³ per cell: 312
ΔE_f (raw) in eV per atom: -0.576
ΔE to the lowest computed polymorph in eV per atom: 0.0000
DFT total energy in eV per atom: -3.1595

Cell lengths 8.480, 8.480, 4.337 Å; angles 90.00, 90.00, 90.00 degrees
Atoms (fractional coordinates):
Rb 0.000 0.000 0.000
Rb 0.500 0.500 0.000
S 0.078 0.422 0.000
S 0.422 0.922 0.000
S 0.578 0.078 0.000
S 0.922 0.578 0.000
Cl 0.236 0.264 0.500
Cl 0.264 0.764 0.500
Cl 0.736 0.236 0.500
Cl 0.764 0.736 0.500


No. 7
This record from Alexandria describes a geometry-optimized BaAlAs2 structure. The functional is PBE.

Output
E_form in eV/atom: -0.16
Volume in Å³ per cell: 102
DFT total energy in eV per atom: -3.8983

Cell lengths 5.676, 5.676, 5.676 Å; angles 130.97, 130.76, 72.03 degrees
Atoms (fractional coordinates):
Ba 0.000 0.000 0.000
Al 0.500 0.500 0.000
As 0.250 0.750 0.500
As 0.750 0.250 0.500


What did the fourth record say?
This record from Alexandria describes a geometry-optimized Tm2Mg5Tl3Pb2 structure. The functional is PBE.

Output
E_form in eV/atom: -0.02
Volume in Å³ per cell: 345
DFT total energy in eV per atom: -2.6414

Cell lengths 18.269, 18.269, 18.269 Å; angles 166.25, 166.25, 19.50 degrees
Atoms (fractional coordinates):
Tm 0.216 0.216 0.000
Tm 0.784 0.784 0.000
Mg 0.000 0.000 0.000
Mg 0.141 0.641 0.500
Mg 0.359 0.859 0.500
Mg 0.641 0.141 0.500
Mg 0.859 0.359 0.500
Tl 0.302 0.302 0.000
Tl 0.500 0.500 0.000
Tl 0.698 0.698 0.000
Pb 0.081 0.081 0.000
Pb 0.919 0.919 0.000


Question: Which of these has the lowest DFT total energy?
Answer: TaZn2N3


Question: volume of number 7 (BaAlAs2)?
Answer: 102 Å³ per cell